# LaScCl2

Crystalline LaScCl2 at its relaxed geometry (PBE-GGA, Alexandria via LeMat-Bulk).

a = 6.085 Å, b = 6.085 Å, c = 12.829 Å
α = 90.00°, β = 90.00°, γ = 90.00°
Space group I-42d (No. 122)
Asymmetric unit:
La: 0.000 0.000 0.000 [4 per cell]
Sc: 0.000 0.000 0.500 [4 per cell]
Cl: 0.194 0.250 0.625 [8 per cell]

Output
Its raw formation energy is -1001 meV per atom. The raw total energy comes out at -19.0 eV/f.u.